(1)
The following is a PBE calculation of a geometry-optimized Pr4Hg2Rh structure, from Alexandria.

Properties
E_tot   -29.16 eV/f.u.
Total moment   0.000 μB/atom
Space-group type   I4/mmm
ΔE_f   -0.30 eV/atom

Structure (POSCAR):
```
Pr4Hg2Rh
1.0
-5.026 -1.087 1.944
1.377 -5.288 0.602
4.284 4.645 5.903
Rh Hg Pr
1 2 4
Direct
0.000 0.000 0.000
0.384 0.384 0.768
0.616 0.616 0.232
0.814 0.814 0.628
0.186 0.186 0.372
0.000 0.500 0.000
0.500 0.000 0.000
```


(2)
The following is a PBE calculation of a geometry-optimized Pr8Hg2Rh structure, from Alexandria.

Properties
E_tot   -49.22 eV/f.u.
Total moment   0.000 μB/atom
Space-group type   C2/m
ΔE_f   -0.28 eV/atom

Structure (POSCAR):
```
Pr8Hg2Rh
1.0
-0.787 -2.297 -4.682
-0.394 -6.364 3.189
-8.541 3.612 2.634
Pr Hg Rh
8 2 1
Direct
0.021 0.776 0.042
0.979 0.224 0.958
0.798 0.685 0.595
0.651 0.968 0.302
0.411 0.554 0.822
0.349 0.032 0.698
0.202 0.315 0.405
0.589 0.446 0.178
0.808 0.256 0.617
0.192 0.744 0.383
0.500 0.000 0.000
```


(3)
The following is a PBE calculation of a geometry-optimized PrHg2Rh structure, from Alexandria.

Properties
E_tot   -13.69 eV/f.u.
Total moment   0.000 μB/atom
Space-group type   Fm-3m
ΔE_f   -0.24 eV/atom

Structure (POSCAR):
```
PrHg2Rh
1.0
-3.637 3.116 -1.542
-3.754 1.223 3.119
-0.290 4.656 1.884
Rh Pr Hg
1 1 2
Direct
0.000 0.000 0.000
0.500 0.500 0.500
0.750 0.750 0.750
0.250 0.250 0.250
```


(4)
The following is a PBE calculation of a geometry-optimized PrHg5Rh structure, from Alexandria.

Properties
E_tot   -15.10 eV/f.u.
Total moment   0.000 μB/atom
Space-group type   P4/mmm
ΔE_f   -0.21 eV/atom

Structure (POSCAR):
```
PrHg5Rh
1.0
-1.192 0.837 4.598
3.584 -2.882 1.454
4.607 5.798 0.140
Hg Pr Rh
5 1 1
Direct
0.500 0.000 0.299
0.000 0.500 0.701
0.000 0.500 0.299
0.500 0.000 0.701
0.500 0.500 0.000
0.000 0.000 0.000
0.000 0.000 0.500
```


(5)
The following is a PBE calculation of a geometry-optimized Pr4Hg5Rh2 structure, from Alexandria.

Properties
E_tot   -41.25 eV/f.u.
Total moment   0.000 μB/atom
Space-group type   P2/m
ΔE_f   -0.54 eV/atom

Structure (POSCAR):
```
Pr4Hg5Rh2
1.0
3.798 0.000 0.000
0.000 7.852 0.009
0.000 -0.749 9.666
Hg Pr Rh
5 4 2
Direct
0.000 0.500 0.000
0.000 0.831 0.855
0.000 0.169 0.145
0.000 0.547 0.329
0.000 0.453 0.671
0.500 0.777 0.561
0.500 0.223 0.439
0.500 0.182 0.849
0.500 0.818 0.151
0.000 0.924 0.360
0.000 0.076 0.640
```


(6)
The following is a PBE calculation of a geometry-optimized Pr2HgRh structure, from Alexandria.

Properties
E_tot   -19.38 eV/f.u.
Total moment   0.000 μB/atom
Space-group type   P4/mmm
ΔE_f   -0.54 eV/atom

Structure (POSCAR):
```
Pr2HgRh
1.0
-0.630 1.052 -3.437
3.192 -1.440 -1.026
-3.508 -6.760 -1.427
Pr Rh Hg
2 1 1
Direct
0.000 0.000 0.221
0.000 0.000 0.779
0.500 0.500 0.000
0.500 0.500 0.500
```


(7)
The following is a PBE calculation of a geometry-optimized Pr3HgRh8 structure, from Alexandria.

Properties
E_tot   -79.09 eV/f.u.
Total moment   0.000 μB/atom
Space-group type   R3m
ΔE_f   -0.47 eV/atom

Structure (POSCAR):
```
Pr3HgRh8
1.0
-3.952 0.352 -3.646
-4.924 -1.845 1.178
-5.183 7.468 2.357
Rh Pr Hg
8 3 1
Direct
0.938 0.437 0.188
0.688 0.688 0.936
0.437 0.437 0.188
0.938 0.938 0.685
0.188 0.188 0.436
0.439 0.938 0.685
0.938 0.439 0.685
0.437 0.938 0.188
0.995 0.995 0.016
0.505 0.505 0.486
0.376 0.376 0.873
0.873 0.873 0.382
```


(8)
The following is a PBE calculation of a geometry-optimized PrHgRh structure, from Alexandria.

Properties
E_tot   -14.14 eV/f.u.
Total moment   0.000 μB/atom
Space-group type   Cmcm
ΔE_f   -0.57 eV/atom

Structure (POSCAR):
```
PrHgRh
1.0
-3.555 1.538 -1.331
0.933 -1.066 -3.723
-4.296 -7.227 3.123
Rh Pr Hg
2 2 2
Direct
0.250 0.548 0.096
0.750 0.452 0.904
0.250 0.902 0.804
0.750 0.098 0.196
0.750 0.292 0.584
0.250 0.708 0.416
```


(9)
The following is a PBE calculation of a geometry-optimized Pr7Hg2Rh2 structure, from Alexandria.

Properties
E_tot   -52.58 eV/f.u.
Total moment   0.000 μB/atom
Space-group type   Cmmm
ΔE_f   -0.35 eV/atom

Structure (POSCAR):
```
Pr7Hg2Rh2
1.0
-4.550 4.836 -2.301
-2.214 -4.618 -5.326
-3.223 -3.993 4.801
Pr Rh Hg
7 2 2
Direct
0.000 0.000 0.000
0.500 0.745 0.000
0.500 0.754 0.500
0.500 0.246 0.500
0.000 0.255 0.500
0.500 0.255 0.000
0.000 0.745 0.500
0.709 0.000 0.291
0.291 0.000 0.709
0.177 0.500 0.177
0.823 0.500 0.823
```


(10)
The following is a PBE calculation of a geometry-optimized Pr3Hg5Rh2 structure, from Alexandria.

Properties
E_tot   -33.39 eV/f.u.
Total moment   0.000 μB/atom
Space-group type   Ibam
ΔE_f   -0.28 eV/atom

Structure (POSCAR):
```
Pr3Hg5Rh2
1.0
-0.972 -1.340 -6.236
7.830 1.828 -4.952
2.055 -9.056 -1.712
Hg Rh Pr
10 4 6
Direct
0.750 0.500 0.500
0.897 0.443 0.764
0.008 0.742 0.742
0.103 0.557 0.236
0.603 0.236 0.557
0.397 0.764 0.443
0.492 0.258 0.258
0.508 0.742 0.742
0.250 0.500 0.500
0.992 0.258 0.258
0.137 0.728 0.997
0.863 0.272 0.003
0.637 0.997 0.728
0.363 0.003 0.272
0.750 0.000 0.000
0.647 0.594 0.112
0.853 0.888 0.406
0.147 0.112 0.594
0.250 0.000 0.000
0.353 0.406 0.888
```


(11)
The following is a PBE calculation of a geometry-optimized Pr3Hg2Rh2 structure, from Alexandria.

Properties
E_tot   -33.48 eV/f.u.
Total moment   0.027 μB/atom
Space-group type   Cmmm
ΔE_f   -0.55 eV/atom

Structure (POSCAR):
```
Pr3Hg2Rh2
1.0
3.952 0.000 0.524
0.000 3.913 0.000
0.468 0.000 11.622
Pr Rh Hg
3 2 2
Direct
0.826 0.000 0.349
0.174 0.000 0.651
0.000 0.000 0.000
0.289 0.500 0.422
0.711 0.500 0.578
0.585 0.500 0.831
0.415 0.500 0.169
```


(12)
The following is a PBE calculation of a geometry-optimized Pr12Hg6Rh structure, from Alexandria.

Properties
E_tot   -71.55 eV/f.u.
Total moment   0.000 μB/atom
Space-group type   R-3
ΔE_f   -0.26 eV/atom

Structure (POSCAR):
```
Pr12Hg6Rh
1.0
8.520 0.330 0.395
-0.966 8.472 0.395
-0.966 -1.125 8.406
Pr Hg Rh
12 6 1
Direct
0.682 0.033 0.914
0.914 0.682 0.033
0.318 0.967 0.086
0.801 0.574 0.459
0.199 0.426 0.541
0.541 0.199 0.426
0.086 0.318 0.967
0.426 0.541 0.199
0.574 0.459 0.801
0.967 0.086 0.318
0.459 0.801 0.574
0.033 0.914 0.682
0.738 0.348 0.145
0.262 0.652 0.855
0.652 0.855 0.262
0.145 0.738 0.348
0.348 0.145 0.738
0.855 0.262 0.652
0.000 0.000 0.000
```


(13)
The following is a PBE calculation of a geometry-optimized Pr4Hg3Rh structure, from Alexandria.

Properties
E_tot   -31.38 eV/f.u.
Total moment   0.051 μB/atom
Space-group type   P4/mmm
ΔE_f   -0.50 eV/atom

Structure (POSCAR):
```
Pr4Hg3Rh
1.0
3.747 0.000 0.000
0.000 3.747 0.000
0.000 0.000 15.524
Pr Hg Rh
4 3 1
Direct
0.000 0.000 0.107
0.000 0.000 0.893
0.000 0.000 0.629
0.000 0.000 0.371
0.500 0.500 0.243
0.500 0.500 0.757
0.500 0.500 0.500
0.500 0.500 0.000
```


(14)
The following is a PBE calculation of a geometry-optimized Pr4HgRh2 structure, from Alexandria.

Properties
E_tot   -37.03 eV/f.u.
Total moment   0.000 μB/atom
Space-group type   C2/c
ΔE_f   -0.42 eV/atom

Structure (POSCAR):
```
Pr4HgRh2
1.0
8.130 -1.098 -0.167
-1.681 8.030 0.167
-3.103 -3.579 6.720
Pr Rh Hg
8 4 2
Direct
0.336 0.151 0.816
0.849 0.664 0.183
0.401 0.086 0.316
0.480 0.665 0.817
0.915 0.230 0.317
0.335 0.520 0.184
0.770 0.085 0.684
0.914 0.599 0.683
0.625 0.375 0.250
0.125 0.375 0.750
0.625 0.375 0.750
0.625 0.875 0.250
0.250 0.750 0.500
0.000 0.000 0.000
```


(15)
The following is a PBE calculation of a geometry-optimized Pr2Hg3Rh2 structure, from Alexandria.

Properties
E_tot   -28.34 eV/f.u.
Total moment   0.000 μB/atom
Space-group type   Cmmm
ΔE_f   -0.45 eV/atom

Structure (POSCAR):
```
Pr2Hg3Rh2
1.0
3.957 0.000 0.000
0.000 4.044 -0.796
0.000 -0.016 10.592
Pr Rh Hg
2 2 3
Direct
0.000 0.170 0.341
0.000 0.830 0.659
0.500 0.294 0.588
0.500 0.706 0.412
0.500 0.427 0.855
0.500 0.573 0.145
0.000 0.000 0.000
```


(16)
The following is a PBE calculation of a geometry-optimized PrHgRh structure, from Alexandria.

Properties
E_tot   -13.77 eV/f.u.
Total moment   0.000 μB/atom
Space-group type   F-43m
ΔE_f   -0.45 eV/atom

Structure (POSCAR):
```
PrHgRh
1.0
4.776 0.000 0.000
2.388 4.136 0.000
2.388 1.379 3.899
Rh Hg Pr
1 1 1
Direct
0.250 0.250 0.250
0.500 0.500 0.500
0.000 0.000 0.000
```


(17)
The following is a PBE calculation of a geometry-optimized Pr4Hg2Rh structure, from Alexandria.

Properties
E_tot   -29.78 eV/f.u.
Total moment   0.000 μB/atom
Space-group type   C2/m
ΔE_f   -0.39 eV/atom

Structure (POSCAR):
```
Pr4Hg2Rh
1.0
-0.781 3.626 1.602
-4.938 0.965 -4.594
-2.316 -5.649 6.561
Pr Hg Rh
4 2 1
Direct
0.906 0.252 0.812
0.610 0.270 0.219
0.390 0.730 0.781
0.094 0.748 0.188
0.255 0.215 0.510
0.745 0.785 0.490
0.000 0.000 0.000
```


(18)
The following is a PBE calculation of a geometry-optimized Pr3HgRh3 structure, from Alexandria.

Properties
E_tot   -40.02 eV/f.u.
Total moment   0.000 μB/atom
Space-group type   P6_3/m
ΔE_f   -0.48 eV/atom

Structure (POSCAR):
```
Pr3HgRh3
1.0
4.625 0.000 0.000
0.000 9.237 0.000
0.000 -4.618 7.999
Pr Rh Hg
6 6 2
Direct
0.250 0.605 0.927
0.750 0.927 0.322
0.750 0.395 0.073
0.250 0.073 0.678
0.750 0.678 0.605
0.250 0.322 0.395
0.750 0.157 0.188
0.750 0.812 0.969
0.250 0.188 0.031
0.750 0.031 0.843
0.250 0.843 0.812
0.250 0.969 0.157
0.250 0.667 0.333
0.750 0.333 0.667
```


(19)
The following is a PBE calculation of a geometry-optimized Pr2Hg3Rh2 structure, from Alexandria.

Properties
E_tot   -27.62 eV/f.u.
Total moment   0.000 μB/atom
Space-group type   P2/m
ΔE_f   -0.35 eV/atom

Structure (POSCAR):
```
Pr2Hg3Rh2
1.0
-1.642 -2.158 2.795
-0.574 -3.014 -2.664
11.355 -3.347 1.342
Hg Pr Rh
3 2 2
Direct
0.000 0.000 0.000
0.704 0.000 0.408
0.296 0.000 0.592
0.411 0.500 0.822
0.589 0.500 0.178
0.883 0.000 0.765
0.117 0.000 0.235
```


(20)
The following is a PBE calculation of a geometry-optimized Pr2HgRh structure, from Alexandria.

Properties
E_tot   -19.35 eV/f.u.
Total moment   0.000 μB/atom
Space-group type   R-3m
ΔE_f   -0.53 eV/atom

Structure (POSCAR):
```
Pr2HgRh
1.0
4.098 0.000 0.000
2.049 3.549 0.000
2.049 1.183 8.008
Pr Rh Hg
2 1 1
Direct
0.735 0.735 0.796
0.265 0.265 0.204
0.000 0.000 0.000
0.500 0.500 0.500
```